A plane-wave DFT calculation with PBE was carried out for a geometry-optimized TlNi2HAu structure.

Output
As for the raw total energy: -0.1434 hartree per atom.

Cell lengths 4.0602, 4.0602, 3.9422 Å; angles 90.00, 90.00, 90.00 degrees
Positions (direct):
Tl: 0.0000 0.0000 0.0000
Ni: 0.0000 0.5000 0.5000
Ni: 0.5000 0.0000 0.5000
H: 0.5000 0.5000 0.5000
Au: 0.5000 0.5000 0.0000